No. 1
The following is a DFT calculation (PBE-GGA) of crystalline Sm2TlGe at its relaxed geometry.

Properties
Spin magnetization, μB per formula unit: 0.00
ΔH_f (0 K), meV per atom: -501

Lattice parameters (Å, degrees): 3.893 3.893 6.930 90.00 90.00 90.00
Atoms (fractional coordinates):
Tl: 0.500 0.500 0.500
Ge: 0.500 0.500 0.000
Sm: 0.000 0.000 0.776
Sm: 0.000 0.000 0.224

No. 2
The following is a DFT calculation (PBE-GGA) of crystalline Cu2Ni2Ag at its relaxed geometry.

Properties
Spin magnetization, μB per formula unit: 0.00
Relative energy among the computed polymorphs, meV/atom: 14.7
ΔH_f (0 K), meV per atom: 202

Lattice parameters (Å, degrees): 6.988 6.988 2.648 90.00 90.00 90.00
Atoms (fractional coordinates):
Ni: 0.167 0.667 0.500
Ni: 0.667 0.833 0.500
Ni: 0.833 0.333 0.500
Ni: 0.333 0.167 0.500
Cu: 0.372 0.872 0.000
Cu: 0.872 0.628 0.000
Cu: 0.628 0.128 0.000
Cu: 0.128 0.372 0.000
Ag: 0.000 0.000 0.000
Ag: 0.500 0.500 0.000

No. 3
The following is a DFT calculation (PBE-GGA) of crystalline ZrW3 at its relaxed geometry.

Properties
Spin magnetization, μB per formula unit: 0.00
ΔH_f (0 K), meV per atom: 513

Lattice parameters (Å, degrees): 2.815 2.815 10.312 90.00 90.00 120.00
Atoms (fractional coordinates):
W: 0.000 0.000 0.012
W: 0.000 0.000 0.488
W: 0.333 0.667 0.250
Zr: 0.333 0.667 0.750

No. 4
The following is a DFT calculation (PBE-GGA) of crystalline NaHg3Te at its relaxed geometry.

Properties
Spin magnetization, μB per formula unit: 0.00
Relative energy among the computed polymorphs, meV/atom: 0.0

Lattice parameters (Å, degrees): 5.873 5.873 5.873 90.00 90.00 90.00
Atoms (fractional coordinates):
Na: 0.500 0.500 0.500
Te: 0.000 0.000 0.000
Hg: 0.000 0.500 0.000
Hg: 0.000 0.000 0.500
Hg: 0.500 0.000 0.000

No. 5
The following is a DFT calculation (PBE-GGA) of crystalline Dy3HgO6 at its relaxed geometry.

Properties
Spin magnetization, μB per formula unit: 0.00

Lattice parameters (Å, degrees): 5.666 7.199 7.199 102.43 90.00 90.00
Atoms (fractional coordinates):
Dy: 0.467 0.910 0.681
Dy: 0.967 0.681 0.910
Dy: 0.412 0.400 0.600
Dy: 0.912 0.600 0.400
Dy: 0.967 0.090 0.319
Dy: 0.467 0.319 0.090
Hg: 0.972 0.157 0.843
Hg: 0.472 0.843 0.157
O: 0.189 0.678 0.641
O: 0.689 0.641 0.678
O: 0.204 0.430 0.899
O: 0.704 0.899 0.430
O: 0.263 0.024 0.976
O: 0.619 0.220 0.780
O: 0.119 0.780 0.220
O: 0.763 0.976 0.024
O: 0.204 0.101 0.570
O: 0.704 0.570 0.101
O: 0.189 0.359 0.322
O: 0.689 0.322 0.359

No. 6
The following is a DFT calculation (PBE-GGA) of crystalline NdSmEr2 at its relaxed geometry.

Properties
Spin magnetization, μB per formula unit: 0.00
Relative energy among the computed polymorphs, meV/atom: 9.0
ΔH_f (0 K), meV per atom: 25

Lattice parameters (Å, degrees): 3.635 8.513 12.554 137.58 90.00 90.00
Atoms (fractional coordinates):
Nd: 0.911 0.200 0.324
Nd: 0.410 0.705 0.658
Sm: 0.410 0.701 0.156
Sm: 0.911 0.204 0.826
Er: 0.910 0.701 0.907
Er: 0.411 0.203 0.074
Er: 0.411 0.202 0.575
Er: 0.910 0.703 0.407

No. 7
The following is a DFT calculation (PBE-GGA) of crystalline La6Tb2NdTm at its relaxed geometry.

Properties
Spin magnetization, μB per formula unit: 0.00
ΔH_f (0 K), meV per atom: 110

Lattice parameters (Å, degrees): 9.373 9.049 9.049 113.39 92.19 92.19
Atoms (fractional coordinates):
La: 0.080 0.086 0.767
La: 0.420 0.233 0.914
La: 0.920 0.914 0.233
La: 0.580 0.767 0.086
La: 0.318 0.016 0.453
La: 0.182 0.547 0.984
La: 0.682 0.984 0.547
La: 0.818 0.453 0.016
La: 0.108 0.706 0.449
La: 0.392 0.551 0.294
La: 0.892 0.294 0.551
La: 0.608 0.449 0.706
Tb: 0.435 0.795 0.709
Tb: 0.065 0.291 0.205
Tb: 0.565 0.205 0.291
Tb: 0.935 0.709 0.795
Nd: 0.250 0.943 0.057
Nd: 0.750 0.057 0.943
Tm: 0.250 0.417 0.583
Tm: 0.750 0.583 0.417

No. 8
The following is a DFT calculation (PBE-GGA) of crystalline Ac12NdIr7 at its relaxed geometry.

Properties
Spin magnetization, μB per formula unit: 0.00
ΔH_f (0 K), meV per atom: -567

Lattice parameters (Å, degrees): 10.573 9.613 9.613 72.64 68.49 111.51
Atoms (fractional coordinates):
Ac: 0.784 0.470 0.141
Ac: 0.075 0.859 0.612
Ac: 0.370 0.212 0.077
Ac: 0.553 0.923 0.290
Ac: 0.687 0.612 0.530
Ac: 0.842 0.290 0.788
Ac: 0.158 0.710 0.212
Ac: 0.313 0.388 0.470
Ac: 0.447 0.077 0.710
Ac: 0.630 0.788 0.923
Ac: 0.925 0.141 0.388
Ac: 0.216 0.530 0.859
Nd: 0.000 0.000 0.000
Ir: 0.880 0.229 0.092
Ir: 0.028 0.908 0.321
Ir: 0.349 0.321 0.771
Ir: 0.500 0.000 0.000
Ir: 0.651 0.679 0.229
Ir: 0.972 0.092 0.679
Ir: 0.120 0.771 0.908

No. 9
The following is a DFT calculation (PBE-GGA) of crystalline Ag2IrPb2 at its relaxed geometry.

Properties
Spin magnetization, μB per formula unit: 0.00
Relative energy among the computed polymorphs, meV/atom: 89.7
ΔH_f (0 K), meV per atom: 499

Lattice parameters (Å, degrees): 7.167 7.167 4.341 90.00 90.00 90.00
Atoms (fractional coordinates):
Pb: 0.178 0.678 0.500
Pb: 0.678 0.822 0.500
Pb: 0.822 0.322 0.500
Pb: 0.322 0.178 0.500
Ir: 0.000 0.000 0.000
Ir: 0.500 0.500 0.000
Ag: 0.364 0.864 0.000
Ag: 0.864 0.636 0.000
Ag: 0.636 0.136 0.000
Ag: 0.136 0.364 0.000

No. 10
The following is a DFT calculation (PBE-GGA) of crystalline Sm2ErU2Ru5 at its relaxed geometry.

Properties
Spin magnetization, μB per formula unit: 0.00
ΔH_f (0 K), meV per atom: -256

Lattice parameters (Å, degrees): 3.560 10.730 10.730 90.00 90.00 90.00
Atoms (fractional coordinates):
Sm: 0.000 0.675 0.175
Sm: 0.000 0.325 0.825
Sm: 0.000 0.175 0.325
Sm: 0.000 0.825 0.675
Er: 0.000 0.000 0.000
Er: 0.000 0.500 0.500
U: 0.000 0.136 0.636
U: 0.000 0.864 0.364
U: 0.000 0.636 0.864
U: 0.000 0.364 0.136
Ru: 0.500 0.213 0.051
Ru: 0.500 0.787 0.949
Ru: 0.500 0.051 0.787
Ru: 0.500 0.713 0.449
Ru: 0.500 0.949 0.213
Ru: 0.500 0.287 0.551
Ru: 0.500 0.551 0.713
Ru: 0.500 0.449 0.287
Ru: 0.500 0.500 0.000
Ru: 0.500 0.000 0.500

No. 11
The following is a DFT calculation (PBE-GGA) of crystalline K2CaNpS4 at its relaxed geometry.

Properties
Spin magnetization, μB per formula unit: 3.00

Lattice parameters (Å, degrees): 4.123 7.691 7.094 72.21 90.00 90.00
Atoms (fractional coordinates):
K: 0.000 0.000 0.000
K: 0.500 0.000 0.500
Ca: 0.500 0.500 0.000
Np: 0.000 0.500 0.500
S: 0.000 0.701 0.748
S: 0.000 0.299 0.252
S: 0.500 0.700 0.280
S: 0.500 0.300 0.720

No. 12
The following is a DFT calculation (PBE-GGA) of crystalline Cs2CaYSn at its relaxed geometry.

Properties
Spin magnetization, μB per formula unit: 1.00
ΔH_f (0 K), meV per atom: 969

Lattice parameters (Å, degrees): 6.887 6.497 6.887 90.00 90.00 90.00
Atoms (fractional coordinates):
Cs: 0.000 0.000 0.500
Cs: 0.500 0.000 0.000
Y: 0.000 0.000 0.000
Ca: 0.000 0.500 0.000
Sn: 0.500 0.500 0.500

no.,final energy (eV per atom)
1,-4.61
2,-4.32
3,-11.34
4,-0.94
5,-7.04
6,-4.63
7,-4.70
8,-6.37
9,-3.90
10,-8.55
11,-5.75
12,-1.87